No. 1
# RbOs3I (PBEsol, relaxed)
# Space group: Pm-3m, No. 221
# Formation energy without anion corrections (eV per atom): 4.24
# VASP energy (eV per atom): -3.65
# Total moment (μB per cell): 5.11
data_RbOs3I
_space_group_name_H-M_alt 'P 1'
_space_group_IT_number 1
_cell_length_a 4.841
_cell_length_b 4.841
_cell_length_c 4.841
_cell_angle_alpha 90.00
_cell_angle_beta 90.00
_cell_angle_gamma 90.00
loop_
_space_group_symop_operation_xyz
'x,y,z'
loop_
_atom_site_label
_atom_site_fract_x
_atom_site_fract_y
_atom_site_fract_z
Rb1 0.000 0.000 0.000
Os1 0.500 0.000 0.000
Os2 0.000 0.500 0.000
Os3 0.000 0.000 0.500
I1 0.500 0.500 0.500



No. 2
# Li4Mg5 (PBEsol, relaxed)
# Space group: I4/mmm, No. 139
# VASP energy (eV per atom): -1.86
# Total moment (μB per cell): 0.00
data_Li4Mg5
_space_group_name_H-M_alt 'P 1'
_space_group_IT_number 1
_cell_length_a 3.621
_cell_length_b 7.402
_cell_length_c 7.402
_cell_angle_alpha 86.57
_cell_angle_beta 75.84
_cell_angle_gamma 75.84
loop_
_space_group_symop_operation_xyz
'x,y,z'
loop_
_atom_site_label
_atom_site_fract_x
_atom_site_fract_y
_atom_site_fract_z
Li1 0.000 0.666 0.334
Li2 0.334 0.666 0.666
Li3 0.000 0.334 0.666
Li4 0.666 0.334 0.334
Mg1 0.666 0.668 0.000
Mg2 0.334 0.000 0.332
Mg3 0.000 0.000 0.000
Mg4 0.334 0.332 0.000
Mg5 0.666 0.000 0.668